# PBE Tb6Pm12Er, optimized geometry
data_Tb6Pm12Er
_chemical_formula_sum 'Tb18 Pm36 Er3'
_space_group_name_H-M_alt 'R -3 m'
_space_group_IT_number 166
_space_group_name_Hall '-R 3 2"'
_cell_length_a 16.2035
_cell_length_b 16.2035
_cell_length_c 8.6569
_cell_angle_alpha 90.00
_cell_angle_beta 90.00
_cell_angle_gamma 120.00
loop_
_atom_site_label
_atom_site_type_symbol
_atom_site_fract_x
_atom_site_fract_y
_atom_site_fract_z
Tb1 Tb 0.0812 0.1624 0.1470
Pm1 Pm 0.0000 0.3843 0.0000
Pm2 Pm 0.0903 0.5451 0.3195
Er1 Er 0.0000 0.0000 0.5000
# * excess energy over the best structure of this formula in the dataset: 195 meV per atom
# * energy of formation from the pure elements: 32.00 kJ/mol of atoms
# * energy: -4.3711 eV per atom



# PBE Tb3Pm5Er2, optimized geometry
data_Tb3Pm5Er2
_chemical_formula_sum 'Tb12 Pm20 Er8'
_space_group_name_H-M_alt 'C 1 2/c 1'
_space_group_IT_number 15
_cell_length_a 10.697
_cell_length_b 14.921
_cell_length_c 9.966
_cell_angle_alpha 90.00
_cell_angle_beta 122.43
_cell_angle_gamma 90.00
loop_
_space_group_symop_operation_xyz
'x,y,z'
'-x,-y,-z'
'-x,y,-z+1/2'
'x,-y,z+1/2'
'x+1/2,y+1/2,z'
'-x+1/2,-y+1/2,-z'
'-x+1/2,y+1/2,-z+1/2'
'x+1/2,-y+1/2,z+1/2'
loop_
_atom_site_label
_atom_site_type_symbol
_atom_site_fract_x
_atom_site_fract_y
_atom_site_fract_z
Tb1 Tb 0.000 0.227 0.250
Tb2 Tb 0.155 0.125 0.056
Pm1 Pm 0.000 0.022 0.250
Pm2 Pm 0.000 0.272 0.750
Pm3 Pm 0.000 0.481 0.750
Pm4 Pm 0.246 0.129 0.740
Er1 Er 0.151 0.372 0.556
# * energy of formation from the pure elements: 17.83 kJ/mol of atoms
# * energy: -4.4922 eV per atom



# PBE TbPmEr, optimized geometry
data_TbPmEr
_chemical_formula_sum 'Tb2 Pm2 Er2'
_space_group_name_H-M_alt 'I 4 m m'
_space_group_IT_number 107
_space_group_name_Hall 'I 4 -2'
_cell_length_a 3.573
_cell_length_b 3.573
_cell_length_c 15.160
_cell_angle_alpha 90.00
_cell_angle_beta 90.00
_cell_angle_gamma 90.00
loop_
_atom_site_label
_atom_site_type_symbol
_atom_site_fract_x
_atom_site_fract_y
_atom_site_fract_z
Tb1 Tb 0.000 0.000 0.000
Pm1 Pm 0.000 0.000 0.669
Er1 Er 0.000 0.000 0.336
# * excess energy over the best structure of this formula in the dataset: 1 meV per atom
# * energy of formation from the pure elements: 1.99 kJ/mol of atoms
# * energy: -4.6272 eV per atom



# PBE Tb3Pm7Er2, optimized geometry
data_Tb3Pm7Er2
_chemical_formula_sum 'Tb9 Pm21 Er6'
_space_group_name_H-M_alt 'R -3 m'
_space_group_IT_number 166
_space_group_name_Hall '-R 3 2"'
_cell_length_a 6.5814
_cell_length_b 6.5814
_cell_length_c 33.6063
_cell_angle_alpha 90.00
_cell_angle_beta 90.00
_cell_angle_gamma 120.00
loop_
_atom_site_label
_atom_site_type_symbol
_atom_site_fract_x
_atom_site_fract_y
_atom_site_fract_z
Tb1 Tb 0.0000 0.0000 0.0000
Tb2 Tb 0.0000 0.0000 0.1522
Pm1 Pm 0.0000 0.0000 0.5000
Pm2 Pm 0.0066 0.5033 0.9158
Er1 Er 0.0000 0.0000 0.3342
# * excess energy over the best structure of this formula in the dataset: 184 meV per atom
# * energy of formation from the pure elements: 28.42 kJ/mol of atoms
# * energy: -4.3946 eV per atom



# PBE Tb3PmEr3, optimized geometry
data_Tb3PmEr3
_chemical_formula_sum 'Tb6 Pm2 Er6'
_space_group_name_H-M_alt 'P 63/m'
_space_group_IT_number 176
_space_group_name_Hall '-P 6c'
_cell_length_a 9.5582
_cell_length_b 9.5582
_cell_length_c 5.6605
_cell_angle_alpha 90.00
_cell_angle_beta 90.00
_cell_angle_gamma 120.00
loop_
_atom_site_label
_atom_site_type_symbol
_atom_site_fract_x
_atom_site_fract_y
_atom_site_fract_z
Tb1 Tb 0.0490 0.8106 0.2500
Pm1 Pm 0.3333 0.6667 0.2500
Er1 Er 0.0956 0.6187 0.7500
# * excess energy over the best structure of this formula in the dataset: 0 meV per atom
# * energy of formation from the pure elements: 1.02 kJ/mol of atoms
# * energy: -4.6079 eV per atom



# PBE Tb2Pm12Er5, optimized geometry
data_Tb2Pm12Er5
_chemical_formula_sum 'Tb4 Pm24 Er10'
_space_group_name_H-M_alt 'C 1 2/m 1'
_space_group_IT_number 12
_cell_length_a 15.856
_cell_length_b 9.276
_cell_length_c 8.695
_cell_angle_alpha 90.00
_cell_angle_beta 91.52
_cell_angle_gamma 90.00
loop_
_space_group_symop_operation_xyz
'x,y,z'
'-x,-y,-z'
'-x,y,-z'
'x,-y,z'
'x+1/2,y+1/2,z'
'-x+1/2,-y+1/2,-z'
'-x+1/2,y+1/2,-z'
'x+1/2,-y+1/2,z'
loop_
_atom_site_label
_atom_site_type_symbol
_atom_site_fract_x
_atom_site_fract_y
_atom_site_fract_z
Tb1 Tb 0.000 0.172 0.000
Pm1 Pm 0.062 0.000 0.341
Pm2 Pm 0.086 0.500 0.883
Pm3 Pm 0.127 0.195 0.672
Pm4 Pm 0.153 0.318 0.237
Er1 Er 0.000 0.500 0.500
Er2 Er 0.201 0.000 0.023
Er3 Er 0.231 0.500 0.569
# * excess energy over the best structure of this formula in the dataset: 0 meV per atom
# * energy of formation from the pure elements: 11.78 kJ/mol of atoms
# * energy: -4.5665 eV per atom



# PBE Tb5Pm8Er, optimized geometry
data_Tb5Pm8Er
_chemical_formula_sum 'Tb10 Pm16 Er2'
_space_group_name_H-M_alt 'I -4'
_space_group_IT_number 82
_cell_length_a 9.694
_cell_length_b 9.694
_cell_length_c 10.229
_cell_angle_alpha 90.00
_cell_angle_beta 90.00
_cell_angle_gamma 90.00
loop_
_space_group_symop_operation_xyz
'x,y,z'
'y,-x,-z'
'-x,-y,z'
'-y,x,-z'
'x+1/2,y+1/2,z+1/2'
'y+1/2,-x+1/2,-z+1/2'
'-x+1/2,-y+1/2,z+1/2'
'-y+1/2,x+1/2,-z+1/2'
loop_
_atom_site_label
_atom_site_type_symbol
_atom_site_fract_x
_atom_site_fract_y
_atom_site_fract_z
Tb1 Tb 0.000 0.000 0.000
Tb2 Tb 0.107 0.207 0.426
Pm1 Pm 0.069 0.326 0.095
Pm2 Pm 0.087 0.179 0.754
Er1 Er 0.000 0.500 0.750
# * energy of formation from the pure elements: 24.37 kJ/mol of atoms
# * energy: -4.4417 eV per atom



# PBE TbPm5Er3, optimized geometry
data_TbPm5Er3
_chemical_formula_sum 'Tb4 Pm20 Er12'
_space_group_name_H-M_alt 'I 4/m c m'
_space_group_IT_number 140
_space_group_name_Hall '-I 4 2c'
_cell_length_a 9.218
_cell_length_b 9.218
_cell_length_c 14.328
_cell_angle_alpha 90.00
_cell_angle_beta 90.00
_cell_angle_gamma 90.00
loop_
_atom_site_label
_atom_site_type_symbol
_atom_site_fract_x
_atom_site_fract_y
_atom_site_fract_z
Tb1 Tb 0.000 0.500 0.250
Pm1 Pm 0.000 0.000 0.000
Pm2 Pm 0.202 0.298 0.132
Er1 Er 0.000 0.000 0.250
Er2 Er 0.110 0.390 0.500
# * excess energy over the best structure of this formula in the dataset: 255 meV per atom
# * energy of formation from the pure elements: 30.11 kJ/mol of atoms
# * energy: -4.3626 eV per atom



# PBE Tb2PmEr, optimized geometry
data_Tb2PmEr
_chemical_formula_sum 'Tb2 Pm1 Er1'
_space_group_name_H-M_alt 'P 4/m m m'
_space_group_IT_number 123
_space_group_name_Hall '-P 4 2'
_cell_length_a 3.567
_cell_length_b 3.567
_cell_length_c 10.106
_cell_angle_alpha 90.00
_cell_angle_beta 90.00
_cell_angle_gamma 90.00
loop_
_atom_site_label
_atom_site_type_symbol
_atom_site_fract_x
_atom_site_fract_y
_atom_site_fract_z
Tb1 Tb 0.000 0.000 0.245
Pm1 Pm 0.500 0.500 0.500
Er1 Er 0.500 0.500 0.000
# * excess energy over the best structure of this formula in the dataset: 4 meV per atom
# * energy of formation from the pure elements: 1.90 kJ/mol of atoms
# * energy: -4.6239 eV per atom



# PBE Tb4Pm10Er, optimized geometry
data_Tb4Pm10Er
_chemical_formula_sum 'Tb8 Pm20 Er2'
_space_group_name_H-M_alt 'I 4/m'
_space_group_IT_number 87
_space_group_name_Hall '-I 4'
_cell_length_a 12.319
_cell_length_b 12.319
_cell_length_c 7.773
_cell_angle_alpha 90.00
_cell_angle_beta 90.00
_cell_angle_gamma 90.00
loop_
_atom_site_label
_atom_site_type_symbol
_atom_site_fract_x
_atom_site_fract_y
_atom_site_fract_z
Tb1 Tb 0.100 0.701 0.000
Pm1 Pm 0.000 0.500 0.250
Pm2 Pm 0.099 0.200 0.250
Er1 Er 0.000 0.000 0.500
# * energy of formation from the pure elements: 67.92 kJ/mol of atoms
# * energy: -4.0021 eV per atom



# PBE Tb2Pm3Er3, optimized geometry
data_Tb2Pm3Er3
_chemical_formula_sum 'Tb4 Pm6 Er6'
_space_group_name_H-M_alt 'P 1 21/m 1'
_space_group_IT_number 11
_cell_length_a 5.710
_cell_length_b 14.570
_cell_length_c 6.287
_cell_angle_alpha 90.00
_cell_angle_beta 90.05
_cell_angle_gamma 90.00
loop_
_space_group_symop_operation_xyz
'x,y,z'
'-x,-y,-z'
'-x,y+1/2,-z'
'x,-y+1/2,z'
loop_
_atom_site_label
_atom_site_type_symbol
_atom_site_fract_x
_atom_site_fract_y
_atom_site_fract_z
Tb1 Tb 0.250 0.124 0.168
Pm1 Pm 0.248 0.250 0.665
Pm2 Pm 0.251 0.624 0.167
Er1 Er 0.250 0.501 0.666
Er2 Er 0.251 0.750 0.668
# * energy of formation from the pure elements: 1.91 kJ/mol of atoms
# * energy: -4.6303 eV per atom



# PBE Tb6PmEr5, optimized geometry
data_Tb6PmEr5
_chemical_formula_sum 'Tb12 Pm2 Er10'
_space_group_name_H-M_alt 'C m m m'
_space_group_IT_number 65
_space_group_name_Hall '-C 2 2'
_cell_length_a 5.010
_cell_length_b 15.046
_cell_length_c 10.023
_cell_angle_alpha 90.00
_cell_angle_beta 90.00
_cell_angle_gamma 90.00
loop_
_atom_site_label
_atom_site_type_symbol
_atom_site_fract_x
_atom_site_fract_y
_atom_site_fract_z
Tb1 Tb 0.000 0.000 0.248
Tb2 Tb 0.000 0.333 0.249
Pm1 Pm 0.000 0.500 0.500
Er1 Er 0.000 0.167 0.000
Er2 Er 0.000 0.168 0.500
Er3 Er 0.000 0.500 0.000
# * energy of formation from the pure elements: 1.82 kJ/mol of atoms
# * energy: -4.5934 eV per atom



# PBE TbPmEr2, optimized geometry
data_TbPmEr2
_chemical_formula_sum 'Tb1 Pm1 Er2'
_space_group_name_H-M_alt 'P 4/m m m'
_space_group_IT_number 123
_space_group_name_Hall '-P 4 2'
_cell_length_a 5.037
_cell_length_b 5.037
_cell_length_c 5.007
_cell_angle_alpha 90.00
_cell_angle_beta 90.00
_cell_angle_gamma 90.00
loop_
_atom_site_label
_atom_site_type_symbol
_atom_site_fract_x
_atom_site_fract_y
_atom_site_fract_z
Tb1 Tb 0.000 0.000 0.000
Pm1 Pm 0.500 0.500 0.000
Er1 Er 0.000 0.500 0.500
# * excess energy over the best structure of this formula in the dataset: 6 meV per atom
# * energy of formation from the pure elements: 2.09 kJ/mol of atoms
# * energy: -4.6050 eV per atom



# PBE Tb3Pm3Er8, optimized geometry
data_Tb3Pm3Er8
_chemical_formula_sum 'Tb6 Pm6 Er16'
_space_group_name_H-M_alt 'C 1 2/m 1'
_space_group_IT_number 12
_cell_length_a 12.119
_cell_length_b 14.967
_cell_length_c 5.617
_cell_angle_alpha 90.00
_cell_angle_beta 117.53
_cell_angle_gamma 90.00
loop_
_space_group_symop_operation_xyz
'x,y,z'
'-x,-y,-z'
'-x,y,-z'
'x,-y,z'
'x+1/2,y+1/2,z'
'-x+1/2,-y+1/2,-z'
'-x+1/2,y+1/2,-z'
'x+1/2,-y+1/2,z'
loop_
_atom_site_label
_atom_site_type_symbol
_atom_site_fract_x
_atom_site_fract_y
_atom_site_fract_z
Tb1 Tb 0.000 0.000 0.000
Tb2 Tb 0.203 0.500 0.704
Pm1 Pm 0.000 0.316 0.500
Pm2 Pm 0.000 0.500 0.000
Er1 Er 0.158 0.103 0.658
Er2 Er 0.160 0.221 0.160
# * energy of formation from the pure elements: 10.70 kJ/mol of atoms
# * energy: -4.5066 eV per atom



# PBE Tb6Pm6Er, optimized geometry
data_Tb6Pm6Er
_chemical_formula_sum 'Tb6 Pm6 Er1'
_space_group_name_H-M_alt 'P 6/m m m'
_space_group_IT_number 191
_space_group_name_Hall '-P 6 2'
_cell_length_a 6.7270
_cell_length_b 6.7270
_cell_length_c 11.3982
_cell_angle_alpha 90.00
_cell_angle_beta 90.00
_cell_angle_gamma 120.00
loop_
_atom_site_label
_atom_site_type_symbol
_atom_site_fract_x
_atom_site_fract_y
_atom_site_fract_z
Tb1 Tb 0.0000 0.5000 0.2470
Pm1 Pm 0.0000 0.0000 0.3452
Pm2 Pm 0.3333 0.6667 0.0000
Pm3 Pm 0.3333 0.6667 0.5000
Er1 Er 0.0000 0.0000 0.0000
# * energy of formation from the pure elements: 27.52 kJ/mol of atoms
# * energy: -4.3954 eV per atom



# PBE TbPm4Er, optimized geometry
data_TbPm4Er
_chemical_formula_sum 'Tb4 Pm16 Er4'
_space_group_name_H-M_alt 'F -4 3 m'
_space_group_IT_number 216
_space_group_name_Hall 'F -4 2 3'
_cell_length_a 9.400
_cell_length_b 9.400
_cell_length_c 9.400
_cell_angle_alpha 90.00
_cell_angle_beta 90.00
_cell_angle_gamma 90.00
loop_
_atom_site_label
_atom_site_type_symbol
_atom_site_fract_x
_atom_site_fract_y
_atom_site_fract_z
Tb1 Tb 0.000 0.000 0.000
Pm1 Pm 0.125 0.125 0.625
Er1 Er 0.250 0.250 0.250
# * excess energy over the best structure of this formula in the dataset: 154 meV per atom
# * energy of formation from the pure elements: 25.28 kJ/mol of atoms
# * energy: -4.4373 eV per atom



# PBE Tb3PmEr3, optimized geometry
data_Tb3PmEr3
_chemical_formula_sum 'Tb18 Pm6 Er18'
_space_group_name_H-M_alt 'R -3'
_space_group_IT_number 148
_space_group_name_Hall '-R 3'
_cell_length_a 8.6088
_cell_length_b 8.6088
_cell_length_c 21.6766
_cell_angle_alpha 90.00
_cell_angle_beta 90.00
_cell_angle_gamma 120.00
loop_
_atom_site_label
_atom_site_type_symbol
_atom_site_fract_x
_atom_site_fract_y
_atom_site_fract_z
Tb1 Tb 0.0043 0.2331 0.0597
Pm1 Pm 0.0000 0.0000 0.3504
Er1 Er 0.0586 0.2747 0.2128
# * excess energy over the best structure of this formula in the dataset: 224 meV per atom
# * energy of formation from the pure elements: 22.60 kJ/mol of atoms
# * energy: -4.3843 eV per atom



# PBE Tb2Pm2Er3, optimized geometry
data_Tb2Pm2Er3
_chemical_formula_sum 'Tb4 Pm4 Er6'
_space_group_name_H-M_alt 'C 1 2/m 1'
_space_group_IT_number 12
_cell_length_a 11.239
_cell_length_b 5.039
_cell_length_c 7.978
_cell_angle_alpha 90.00
_cell_angle_beta 98.21
_cell_angle_gamma 90.00
loop_
_space_group_symop_operation_xyz
'x,y,z'
'-x,-y,-z'
'-x,y,-z'
'x,-y,z'
'x+1/2,y+1/2,z'
'-x+1/2,-y+1/2,-z'
'-x+1/2,y+1/2,-z'
'x+1/2,-y+1/2,z'
loop_
_atom_site_label
_atom_site_type_symbol
_atom_site_fract_x
_atom_site_fract_y
_atom_site_fract_z
Tb1 Tb 0.214 0.000 0.144
Pm1 Pm 0.072 0.000 0.715
Er1 Er 0.000 0.500 0.000
Er2 Er 0.143 0.500 0.428
# * excess energy over the best structure of this formula in the dataset: 0 meV per atom
# * energy of formation from the pure elements: 1.71 kJ/mol of atoms
# * energy: -4.6181 eV per atom



# PBE Tb2Pm8Er, optimized geometry
data_Tb2Pm8Er
_chemical_formula_sum 'Tb4 Pm16 Er2'
_space_group_name_H-M_alt 'C 1 2/m 1'
_space_group_IT_number 12
_cell_length_a 16.731
_cell_length_b 6.788
_cell_length_c 6.723
_cell_angle_alpha 90.00
_cell_angle_beta 100.46
_cell_angle_gamma 90.00
loop_
_space_group_symop_operation_xyz
'x,y,z'
'-x,-y,-z'
'-x,y,-z'
'x,-y,z'
'x+1/2,y+1/2,z'
'-x+1/2,-y+1/2,-z'
'-x+1/2,y+1/2,-z'
'x+1/2,-y+1/2,z'
loop_
_atom_site_label
_atom_site_type_symbol
_atom_site_fract_x
_atom_site_fract_y
_atom_site_fract_z
Tb1 Tb 0.197 0.000 0.305
Pm1 Pm 0.087 0.262 0.903
Pm2 Pm 0.093 0.500 0.413
Pm3 Pm 0.244 0.000 0.817
Er1 Er 0.000 0.000 0.500
# * excess energy over the best structure of this formula in the dataset: 45 meV per atom
# * energy of formation from the pure elements: 15.99 kJ/mol of atoms
# * energy: -4.5459 eV per atom



# PBE Tb2PmEr3, optimized geometry
data_Tb2PmEr3
_chemical_formula_sum 'Tb8 Pm4 Er12'
_space_group_name_H-M_alt 'C 1 2/c 1'
_space_group_IT_number 15
_cell_length_a 17.392
_cell_length_b 7.097
_cell_length_c 6.135
_cell_angle_alpha 90.00
_cell_angle_beta 90.14
_cell_angle_gamma 90.00
loop_
_space_group_symop_operation_xyz
'x,y,z'
'-x,-y,-z'
'-x,y,-z+1/2'
'x,-y,z+1/2'
'x+1/2,y+1/2,z'
'-x+1/2,-y+1/2,-z'
'-x+1/2,y+1/2,-z+1/2'
'x+1/2,-y+1/2,z+1/2'
loop_
_atom_site_label
_atom_site_type_symbol
_atom_site_fract_x
_atom_site_fract_y
_atom_site_fract_z
Tb1 Tb 0.167 0.125 0.418
Pm1 Pm 0.000 0.375 0.250
Er1 Er 0.000 0.124 0.750
Er2 Er 0.168 0.375 0.916
# * excess energy over the best structure of this formula in the dataset: 10 meV per atom
# * energy of formation from the pure elements: 1.93 kJ/mol of atoms
# * energy: -4.5966 eV per atom